# CaAlCo

Crystalline CaAlCo at its relaxed geometry (PBE, the Alexandria database).

Cell and atoms, written as POSCAR:
```
CaAlCo
1.0
-3.4341 2.3090 4.1388
-4.4522 -2.0166 3.2195
5.4057 -0.8292 -2.0846
Ca Co Al
1 1 1
Direct
0.3230 0.3230 0.0000 Ca
0.6318 0.6318 0.0000 Co
0.0452 0.0452 0.0000 Al
```

Crystal system: tetragonal
Total magnetic moment: 0.722 Bohr magnetons per cell
VASP energy: -4.37 eV/atom